No. 1
Entry from Alexandria via LeMat-Bulk: a geometry-optimized CaAg4Hg structure (GGA-PBEsol).

Results
symmetry	No. 216
M_tot	0.00	Bohr magnetons per cell
E	-2.87	eV/atom
DOS(E_F)	2.99	states/eV per cell

a b c (Å): 5.4961 5.4961 5.4961
angles (deg): 60.00 60.00 60.00
Closest atoms and distances in Å follow each position.
Element x y z (fractional)
Ca: 0.7500 0.7500 0.7500  12 Ag 3.22, 4 Hg 3.37
Ag: 0.3748 0.3748 0.3748  6 Ag 2.74-2.75
Ag: 0.3748 0.8756 0.3748  6 Ag 2.74-2.75
Hg: 0.0000 0.0000 0.0000  12 Ag 3.22, 4 Ca 3.37
Ag: 0.3748 0.3748 0.8756  6 Ag 2.74-2.75
Ag: 0.8756 0.3748 0.3748  6 Ag 2.74-2.75

No. 2
Entry from Alexandria via LeMat-Bulk: a geometry-optimized CaAgHg2 structure (GGA-PBEsol).

Results
symmetry	No. 119
M_tot	0.00	Bohr magnetons per cell
E	-1.99	eV/atom
DOS(E_F)	1.75	states/eV per cell

a b c (Å): 4.7433 4.7433 5.1020
angles (deg): 117.70 117.70 90.00
Closest atoms and distances in Å follow each position.
Element x y z (fractional)
Hg: 0.7500 0.2500 0.5000  4 Ag 3.05, 4 Hg 3.05, 4 Ca 3.35
Hg: 0.5000 0.5000 0.0000  4 Hg 3.05, 4 Ca 3.05, 4 Ag 3.35
Ag: 0.0000 0.0000 0.0000  8 Hg 3.05-3.35, 4 Ca 3.05
Ca: 0.2500 0.7500 0.5000  8 Hg 3.05-3.35, 4 Ag 3.05

No. 3
Entry from Alexandria via LeMat-Bulk: a geometry-optimized CaAg3Hg structure (GGA-PBEsol).

Results
symmetry	No. 221
M_tot	0.00	Bohr magnetons per cell
E	-1.58	eV/atom
DOS(E_F)	3.41	states/eV per cell

a b c (Å): 5.3230 5.3230 5.3230
angles (deg): 90.00 90.00 90.00
Closest atoms and distances in Å follow each position.
Element x y z (fractional)
Hg: 0.5000 0.5000 0.5000  12 Ag 3.76
Ca: 0.0000 0.0000 0.0000  6 Ag 2.66
Ag: 0.0000 0.0000 0.5000  2 Ca 2.66
Ag: 0.0000 0.5000 0.0000  2 Ca 2.66
Ag: 0.5000 0.0000 0.0000  2 Ca 2.66

No. 4
Entry from Alexandria via LeMat-Bulk: a geometry-optimized CaAgHg2 structure (GGA-PBEsol).

Results
symmetry	No. 216
M_tot	0.00	Bohr magnetons per cell
E	-1.99	eV/atom
DOS(E_F)	1.65	states/eV per cell

a b c (Å): 4.9623 4.9623 4.9623
angles (deg): 60.00 60.00 60.00
Closest atoms and distances in Å follow each position.
Element x y z (fractional)
Hg: 0.7500 0.7500 0.7500  4 Hg 3.04, 4 Ag 3.04
Ca: 0.2500 0.2500 0.2500  4 Hg 3.04, 4 Ag 3.04
Hg: 0.0000 0.0000 0.0000  4 Hg 3.04, 4 Ca 3.04
Ag: 0.5000 0.5000 0.5000  4 Hg 3.04, 4 Ca 3.04

No. 5
Entry from Alexandria via LeMat-Bulk: a geometry-optimized CaAgHg2 structure (GGA-PBEsol).

Results
symmetry	No. 99
M_tot	0.00	Bohr magnetons per cell
E	-1.93	eV/atom
DOS(E_F)	1.45	states/eV per cell

a b c (Å): 3.6975 3.6975 6.5439
angles (deg): 90.00 90.00 90.00
Closest atoms and distances in Å follow each position.
Element x y z (fractional)
Ca: 0.5000 0.5000 0.7471  6 Hg 3.13-3.39, 4 Ag 3.15
Ag: 0.0000 0.0000 0.4774  5 Hg 2.96-3.05, 4 Ca 3.15
Hg: 0.0000 0.0000 0.0110  1 Ag 3.05, 4 Hg 3.10, 4 Ca 3.13
Hg: 0.5000 0.5000 0.2646  4 Ag 2.96, 4 Hg 3.10, 1 Ca 3.16

No. 6
Entry from Alexandria via LeMat-Bulk: a geometry-optimized CaAg2Hg structure (GGA-PBEsol).

Results
symmetry	No. 123
M_tot	0.00	Bohr magnetons per cell
E	-2.54	eV/atom
DOS(E_F)	1.52	states/eV per cell

a b c (Å): 4.3316 4.3896 4.3896
angles (deg): 90.00 90.00 90.00
Closest atoms and distances in Å follow each position.
Element x y z (fractional)
Hg: 0.5000 0.0000 0.0000  8 Ag 3.08, 4 Ca 3.10
Ag: 0.0000 0.5000 0.0000  4 Ca 3.08, 4 Hg 3.08, 4 Ag 3.10
Ag: 0.0000 0.0000 0.5000  4 Hg 3.08, 4 Ca 3.08, 4 Ag 3.10
Ca: 0.5000 0.5000 0.5000  8 Ag 3.08, 4 Hg 3.10

No. 7
Entry from Alexandria via LeMat-Bulk: a geometry-optimized CaAg2Hg structure (GGA-PBEsol).

Results
symmetry	No. 119
M_tot	0.00	Bohr magnetons per cell
E	-2.60	eV/atom
DOS(E_F)	1.71	states/eV per cell

a b c (Å): 4.4479 4.4534 5.1883
angles (deg): 115.42 115.38 90.00
Closest atoms and distances in Å follow each position.
Element x y z (fractional)
Ag: 0.9999 0.4999 0.9999  4 Hg 3.03-3.04, 4 Ag 3.03-3.04, 4 Ca 3.15
Hg: 0.2502 0.2502 0.5003  8 Ag 3.03-3.15, 4 Ca 3.03
Ag: 0.7499 0.7499 0.4997  4 Ag 3.03-3.04, 4 Ca 3.03, 4 Hg 3.15
Ca: 0.5000 0.0000 0.0001  4 Hg 3.03, 8 Ag 3.03-3.15

No. 8
Entry from Alexandria via LeMat-Bulk: a geometry-optimized CaAg2Hg structure (GGA-PBEsol).

Results
symmetry	No. 216
M_tot	0.00	Bohr magnetons per cell
E	-2.60	eV/atom
DOS(E_F)	1.83	states/eV per cell

a b c (Å): 4.8800 4.8800 4.8800
angles (deg): 60.00 60.00 60.00
Closest atoms and distances in Å follow each position.
Element x y z (fractional)
Ca: 0.5000 0.5000 0.5000  4 Hg 2.99, 4 Ag 2.99
Ag: 0.0000 0.0000 0.0000  4 Ag 2.99, 4 Hg 2.99
Hg: 0.2500 0.2500 0.2500  4 Ca 2.99, 4 Ag 2.99
Ag: 0.7500 0.7500 0.7500  4 Ca 2.99, 4 Ag 2.99